## A
## FeGeAu3 (PBE-GGA)

Data for a geometry-optimized FeGeAu3 structure.

Cell lengths 4.840, 4.840, 4.840 Å; angles 90.00, 90.00, 90.00 degrees
Site moments in Bohr magnetons follow the coordinates.
Sites, in units of the cell vectors:
Ge: 0.000 0.000 0.000  0.03
Au: 0.000 0.500 0.000  0.00
Au: 0.000 0.000 0.500  0.04
Au: 0.500 0.000 0.000  0.00
Fe: 0.500 0.500 0.500  3.21

***

## B
## FeGeAu3 (PBE-GGA)

Data for a geometry-optimized FeGeAu3 structure.

Cell lengths 4.837, 4.837, 4.837 Å; angles 90.00, 90.00, 90.00 degrees
Site moments in Bohr magnetons follow the coordinates.
Sites, in units of the cell vectors:
Ge: 0.500 0.500 0.500  0.01
Au: 0.000 0.500 0.000  0.07
Au: 0.000 0.000 0.500  0.14
Au: 0.500 0.000 0.000  0.01
Fe: 0.000 0.000 0.000  2.78

***

Which structure wins on stability? B wins.